First-principles (PBEsol) data for an optimized crystal structure of InBr2Cl, as listed in Alexandria.

Values from the calculation:
ΔE to the lowest computed polymorph in eV/atom: 0.1027
VASP energy in eV per cell: -11.94
E_form (uncorrected) in eV per atom: -0.803

a b c (Å): 6.2706 3.6615 6.3554
angles (deg): 90.00 119.54 90.00
Space group Pm (No. 6)
One atom of each set of equivalent atoms:
In 0.0000 0.0000 0.0000 x1
Br 0.0560 0.5000 0.3267 x1
Br 0.3781 0.0000 0.9688 x1
Cl 0.7420 0.5000 0.7056 x1

---

First-principles (PBEsol) data for an optimized crystal structure of TaMo2Ir, as listed in Alexandria.

Values from the calculation:
ΔE to the lowest computed polymorph in eV/atom: 0.1449
Energy of formation in meV per atom: 23
DOS(E_F) in states/eV per atom: 1.0050
VASP energy in eV per cell: -91.64

a b c (Å): 5.4962 8.2735 2.7332
angles (deg): 90.00 90.00 90.00
Space group Cmmm (No. 65)
One atom of each set of equivalent atoms:
Ta 0.0000 0.0000 0.0000 x2
Mo 0.2500 0.2500 0.5000 x4
Ir 0.0000 0.5000 0.0000 x2

---

First-principles (PBEsol) data for an optimized crystal structure of TaAlP2O, as listed in Alexandria.

Values from the calculation:
DOS(E_F) in states/eV per atom: 0.7613
VASP energy in eV per cell: -34.14
E_form (uncorrected) in eV per atom: -0.134

a b c (Å): 4.7580 4.7580 3.3045
angles (deg): 90.00 90.00 90.00
Space group P4/mmm (No. 123)
One atom of each set of equivalent atoms:
Ta 0.0000 0.0000 0.0000 x1
Al 0.5000 0.5000 0.5000 x1
P 0.0000 0.5000 0.5000 x2
O 0.5000 0.5000 0.0000 x1

---

First-principles (PBEsol) data for an optimized crystal structure of In2TcSe, as listed in Alexandria.

Values from the calculation:
DOS(E_F) in states/eV per atom: 1.2161
VASP energy in eV per cell: -76.12
E_form (uncorrected) in eV per atom: 0.513

a b c (Å): 6.7025 6.7025 6.7025
angles (deg): 90.00 90.00 90.00
Space group F-43m (No. 216)
One atom of each set of equivalent atoms:
In 0.0000 0.0000 0.0000 x4
In 0.2500 0.2500 0.2500 x4
Tc 0.0000 0.0000 0.5000 x4
Se 0.2500 0.2500 0.7500 x4

---

First-principles (PBEsol) data for an optimized crystal structure of TiNiTe2I, as listed in Alexandria.

Values from the calculation:
DOS(E_F) in states/eV per atom: 1.5231
VASP energy in eV per cell: -21.30
E_form (uncorrected) in eV per atom: 0.399

a b c (Å): 4.9801 4.9801 5.0676
angles (deg): 90.00 90.00 90.00
Space group P4/mmm (No. 123)
One atom of each set of equivalent atoms:
Ti 0.0000 0.0000 0.0000 x1
Ni 0.5000 0.5000 0.5000 x1
Te 0.0000 0.5000 0.5000 x2
I 0.5000 0.5000 0.0000 x1

---

First-principles (PBEsol) data for an optimized crystal structure of SrCdBr2, as listed in Alexandria.

Values from the calculation:
ΔE to the lowest computed polymorph in eV/atom: 0.5966
DOS(E_F) in states/eV per atom: 0.9105
VASP energy in eV per cell: -27.95
E_form (uncorrected) in eV per atom: -0.635

a b c (Å): 4.3270 4.3270 27.3280
angles (deg): 90.00 90.00 120.00
Space group R-3m (No. 166, hexagonal axes)
One atom of each set of equivalent atoms:
Sr 0.0000 0.0000 0.0000 x3
Cd 0.0000 0.0000 0.5000 x3
Br 0.0000 0.0000 0.1093 x6

---

First-principles (PBEsol) data for an optimized crystal structure of CrCuNi2, as listed in Alexandria.

Values from the calculation:
Energy of formation in meV per atom: 63
DOS(E_F) in states/eV per atom: 1.0880
VASP energy in eV per cell: -26.64

a b c (Å): 2.4709 3.4708 5.0059
angles (deg): 90.00 90.00 90.00
Space group Pmmm (No. 47)
One atom of each set of equivalent atoms:
Cr 0.0000 0.0000 0.0000 x1
Cu 0.0000 0.0000 0.5000 x1
Ni 0.5000 0.5000 0.2447 x2

---

First-principles (PBEsol) data for an optimized crystal structure of BaNa2ZnB, as listed in Alexandria.

Values from the calculation:
Energy of formation in meV per atom: 621
DOS(E_F) in states/eV per atom: 0.5780
VASP energy in eV per cell: -10.44

a b c (Å): 5.2058 5.2058 5.4538
angles (deg): 90.00 90.00 90.00
Space group P4/mmm (No. 123)
One atom of each set of equivalent atoms:
Ba 0.0000 0.0000 0.0000 x1
Na 0.0000 0.5000 0.5000 x2
Zn 0.5000 0.5000 0.0000 x1
B 0.0000 0.0000 0.5000 x1

---

First-principles (PBEsol) data for an optimized crystal structure of ScNbAsW2, as listed in Alexandria.

Values from the calculation:
Energy of formation in meV per atom: 1750
DOS(E_F) in states/eV per atom: 0.7946
VASP energy in eV per cell: -41.40

a b c (Å): 4.6919 4.6919 5.0651
angles (deg): 90.00 90.00 90.00
Space group P4/mmm (No. 123)
One atom of each set of equivalent atoms:
Sc 0.0000 0.0000 0.0000 x1
Nb 0.0000 0.0000 0.5000 x1
As 0.5000 0.5000 0.0000 x1
W 0.0000 0.5000 0.5000 x2

---

First-principles (PBEsol) data for an optimized crystal structure of Mg2CdIr, as listed in Alexandria.

Values from the calculation:
Energy of formation in meV per atom: -195
DOS(E_F) in states/eV per atom: 0.4411
VASP energy in eV per cell: -30.47

a b c (Å): 3.9839 3.9839 8.4984
angles (deg): 90.00 90.00 90.00
Space group I-4m2 (No. 119)
One atom of each set of equivalent atoms:
Mg 0.0000 0.0000 0.0000 x2
Mg 0.0000 0.5000 0.2500 x2
Cd 0.0000 0.0000 0.5000 x2
Ir 0.0000 0.5000 0.7500 x2

---

First-principles (PBEsol) data for an optimized crystal structure of CoSi3W, as listed in Alexandria.

Values from the calculation:
DOS(E_F) in states/eV per atom: 1.7127
VASP energy in eV per cell: -32.85
E_form (uncorrected) in eV per atom: 1.187

a b c (Å): 4.6641 4.6641 4.6641
angles (deg): 90.00 90.00 90.00
Space group Pm-3m (No. 221)
One atom of each set of equivalent atoms:
Co 0.0000 0.0000 0.0000 x1
Si 0.0000 0.5000 0.5000 x3
W 0.5000 0.5000 0.5000 x1

---

First-principles (PBEsol) data for an optimized crystal structure of HgPW2, as listed in Alexandria.

Values from the calculation:
ΔE to the lowest computed polymorph in eV/atom: 0.4493
Energy of formation in meV per atom: 774
DOS(E_F) in states/eV per atom: 0.6892
VASP energy in eV per cell: -61.75

a b c (Å): 5.5645 8.6521 2.8510
angles (deg): 90.00 110.61 90.00
Space group C2/m (No. 12)
One atom of each set of equivalent atoms:
Hg 0.0000 0.0000 0.0000 x2
P 0.0000 0.5000 0.0000 x2
W 0.2500 0.2500 0.5000 x4